# 1
Density functional theory data (GGA-PBE) for BaBeNi2 after structural relaxation.

Properties
* energy above the lowest structure with this stoichiometry: 0.882 eV per formula unit
* energy of formation from the pure elements: 0.159 eV per atom

Cell lengths 4.152, 3.992, 5.014 Å; angles 90.00, 96.53, 90.00 degrees
Space group Pm (No. 6)
One atom of each set of equivalent atoms:
Ba 0.000 0.000 0.000 [1 per cell]
Be 0.365 0.500 0.560 [1 per cell]
Ni 0.508 0.000 0.492 [1 per cell]
Ni 0.857 0.500 0.484 [1 per cell]



# 2
Density functional theory data (GGA-PBE) for BaBeNi2 after structural relaxation.

Properties
* energy above the lowest structure with this stoichiometry: 0.696 eV per formula unit
* energy of formation from the pure elements: 0.113 eV per atom

Cell lengths 4.782, 4.782, 14.441 Å; angles 90.00, 90.00, 90.00 degrees
Space group I4_1/amd (No. 141, origin choice 2)
One atom of each set of equivalent atoms:
Ba 0.000 0.250 0.375 [4 per cell]
Be 0.000 0.250 0.875 [4 per cell]
Ni 0.000 0.000 0.000 [8 per cell]



# 3
Density functional theory data (GGA-PBE) for BaBeNi2 after structural relaxation.

Properties
* energy above the lowest structure with this stoichiometry: 1.688 eV per formula unit
* energy of formation from the pure elements: 0.361 eV per atom

Cell lengths 3.119, 3.119, 6.961 Å; angles 90.00, 90.00, 90.00 degrees
Space group P4mm (No. 99)
One atom of each set of equivalent atoms:
Ba 0.000 0.000 0.000 [1 per cell]
Be 0.500 0.500 0.370 [1 per cell]
Ni 0.000 0.000 0.479 [1 per cell]
Ni 0.500 0.500 0.669 [1 per cell]



# 4
Density functional theory data (GGA-PBE) for BaBe2Ni after structural relaxation.

Properties
* energy above the lowest structure with this stoichiometry: 4.128 eV per formula unit
* energy of formation from the pure elements: 1.033 eV per atom

Cell lengths 3.419, 4.429, 5.012 Å; angles 90.00, 90.00, 90.00 degrees
Space group Pmmm (No. 47)
One atom of each set of equivalent atoms:
Ba 0.000 0.000 0.000 [1 per cell]
Be 0.000 0.500 0.500 [1 per cell]
Be 0.500 0.000 0.500 [1 per cell]
Ni 0.500 0.500 0.000 [1 per cell]



# 5
Density functional theory data (GGA-PBE) for BaBe2Ni after structural relaxation.

Properties
* energy above the lowest structure with this stoichiometry: 1.011 eV per formula unit
* energy of formation from the pure elements: 0.254 eV per atom

Cell lengths 4.272, 3.809, 5.175 Å; angles 90.00, 90.12, 90.00 degrees
Space group Pm (No. 6)
One atom of each set of equivalent atoms:
Ba 0.000 0.000 0.000 [1 per cell]
Be 0.243 0.500 0.501 [1 per cell]
Be 0.516 0.000 0.500 [1 per cell]
Ni 0.732 0.500 0.499 [1 per cell]



# 6
Density functional theory data (GGA-PBE) for BaBe2Ni after structural relaxation.

Properties
* energy above the lowest structure with this stoichiometry: 0.021 eV per formula unit
* energy of formation from the pure elements: 0.006 eV per atom

Cell lengths 3.8652, 3.8652, 17.1546 Å; angles 90.00, 90.00, 120.00 degrees
Space group R-3m (No. 166, hexagonal axes)
One atom of each set of equivalent atoms:
Ba 0.0000 0.0000 0.0000 [3 per cell]
Be 0.0000 0.0000 0.1793 [6 per cell]
Ni 0.0000 0.0000 0.5000 [3 per cell]